The following is a DFT calculation (GGA+U) of a relaxed RbCdFeF6 crystal.

Unit cell a=7.4231 b=7.6706 c=7.3565 alpha=121.42 beta=120.30 gamma=90.00
Fractional coordinates of all 18 atoms:
F: 0.4502 0.1566 0.2603
F: 0.4502 0.6037 0.2603
F: 0.8617 0.1117 0.7235
Fe: 0.5000 0.0000 0.0000
F: 0.1899 0.3963 0.7397
Rb: 0.8488 0.5988 0.6976
Fe: 0.5000 0.5000 0.0000
Cd: 0.5000 0.0000 0.5000
F: 0.8101 0.1566 0.2603
F: 0.1383 0.8883 0.2765
F: 0.5498 0.3963 0.7397
F: 0.8101 0.6037 0.2603
F: 0.1899 0.8434 0.7397
F: 0.5637 0.8137 0.1273
F: 0.4363 0.1863 0.8727
F: 0.5498 0.8434 0.7397
Rb: 0.1512 0.4012 0.3024
Cd: 0.0000 0.0000 0.5000

**Electronic total energy**: -4.41 eV per atom